[1]
The following is a GGA-PBEsol calculation of TcRuBr2 after structural relaxation, from Alexandria.

Lattice parameters (Å, degrees): 3.1013 5.1655 5.1655 110.60 105.45 105.45
With the nearest neighbours (Å) after each atom.
Fractional positions:
1 Tc 0.0000 0.5000 0.5000  4 Br 2.58
2 Br 0.0000 0.0000 0.5000  2 Ru 2.58, 2 Tc 2.58
3 Br 0.0000 0.5000 0.0000  2 Tc 2.58, 2 Ru 2.58
4 Ru 0.0000 0.0000 0.0000  4 Br 2.58

Output
The value obtained for the total DFT energy (no corrections) is -5.27 eV/atom. The formation energy (no corrections) comes out at 1.028 eV per atom. Its energy above the most stable polymorph in this dataset is 63.1 kJ per mole of atoms.

[2]
The following is a GGA-PBEsol calculation of TcRuBr after structural relaxation, from Alexandria.

Lattice parameters (Å, degrees): 2.9708 4.1565 4.1565 120.00 90.00 90.00
With the nearest neighbours (Å) after each atom.
Fractional positions:
1 Tc 0.2348 0.6667 0.3333  3 Br 2.46
2 Ru 0.7181 0.3333 0.6667  3 Br 2.59, 6 Tc 2.80-2.85
3 Br 0.0471 0.0000 0.0000  3 Tc 2.46, 3 Ru 2.59

Output
The value obtained for the total DFT energy (no corrections) is -6.96 eV/atom. The formation energy (no corrections) comes out at 0.807 eV per atom. Its energy above the most stable polymorph in this dataset is 0.0 kJ per mole of atoms.

[3]
The following is a GGA-PBEsol calculation of TcRuBr2 after structural relaxation, from Alexandria.

Lattice parameters (Å, degrees): 2.9448 4.2600 5.4675 90.00 90.00 90.00
With the nearest neighbours (Å) after each atom.
Fractional positions:
1 Br 0.0000 0.0000 0.0000  4 Ru 2.59
2 Br 0.5000 0.0000 0.5000  4 Tc 2.59
3 Ru 0.5000 0.5000 0.0000  4 Br 2.59
4 Tc 0.0000 0.5000 0.5000  4 Br 2.59

Output
The value obtained for the total DFT energy (no corrections) is -5.26 eV/atom. The formation energy (no corrections) comes out at 1.037 eV per atom. Its energy above the most stable polymorph in this dataset is 64.0 kJ per mole of atoms.

[4]
The following is a GGA-PBEsol calculation of TcRuBr after structural relaxation, from Alexandria.

Lattice parameters (Å, degrees): 4.1957 4.1957 4.1957 60.00 60.00 60.00
With the nearest neighbours (Å) after each atom.
Fractional positions:
1 Br 0.5000 0.5000 0.5000  4 Ru 2.57
2 Tc 0.0000 0.0000 0.0000  4 Ru 2.57
3 Ru 0.2500 0.2500 0.2500  4 Tc 2.57, 4 Br 2.57

Output
The value obtained for the total DFT energy (no corrections) is -6.70 eV/atom. The formation energy (no corrections) comes out at 1.074 eV per atom. Its energy above the most stable polymorph in this dataset is 25.8 kJ per mole of atoms.

[5]
The following is a GGA-PBEsol calculation of TcRuBr2 after structural relaxation, from Alexandria.

Lattice parameters (Å, degrees): 3.7000 3.7000 5.5011 109.65 109.65 90.00
With the nearest neighbours (Å) after each atom.
Fractional positions:
1 Br 0.7500 0.2500 0.5000  4 Tc 2.62
2 Br 0.0000 0.0000 0.0000  4 Ru 2.62
3 Ru 0.5000 0.5000 0.0000  4 Br 2.62
4 Tc 0.2500 0.7500 0.5000  4 Br 2.62

Output
The value obtained for the total DFT energy (no corrections) is -5.10 eV/atom. The formation energy (no corrections) comes out at 1.190 eV per atom. Its energy above the most stable polymorph in this dataset is 78.8 kJ per mole of atoms.

[6]
The following is a GGA-PBEsol calculation of TcRuBr2 after structural relaxation, from Alexandria.

Lattice parameters (Å, degrees): 2.9978 2.9978 9.5167 80.94 80.94 60.00
With the nearest neighbours (Å) after each atom.
Fractional positions:
1 Br 0.9801 0.9801 0.0598  3 Tc 2.60
2 Br 0.7683 0.7683 0.6950  3 Ru 2.67
3 Tc 0.2443 0.2443 0.2672  3 Br 2.60, 3 Ru 2.62
4 Ru 0.5073 0.5073 0.4780  3 Tc 2.62, 3 Br 2.67

Output
The value obtained for the total DFT energy (no corrections) is -5.92 eV/atom. The formation energy (no corrections) comes out at 0.374 eV per atom. Its energy above the most stable polymorph in this dataset is 0.0 kJ per mole of atoms.

- Which formula does entry 5 have?
  TcRuBr2

- Among the records above, which one has the highest total DFT energy (no corrections)?
  number 5

- Among the records above, which one has the highest formation energy (no corrections)?
  number 5

- Which formula does entry 4 have?
  TcRuBr